(1)
# NdTm2UAs4, optimized geometry, DFT PBE
data_NdTm2UAs4
_chemical_formula_sum 'Nd1 Tm2 U1 As4'
_cell_length_a 7.130
_cell_length_b 4.108
_cell_length_c 7.139
_cell_angle_alpha 90.00
_cell_angle_beta 109.22
_cell_angle_gamma 90.00
_symmetry_space_group_name_H-M 'P 1 2/m 1'
_symmetry_Int_Tables_number 10
_symmetry_space_group_name_Hall '-P 2y'
loop_
_atom_site_label
_atom_site_type_symbol
_atom_site_fract_x
_atom_site_fract_y
_atom_site_fract_z
Nd1 Nd 0.000 0.000 0.000
Tm1 Tm 0.500 0.000 0.500
Tm2 Tm 0.500 0.500 0.000
U1 U 0.000 0.500 0.500
As1 As 0.255 0.000 0.746
As2 As 0.257 0.500 0.261
# energy of formation: -1297 meV/atom


(2)
# Nd2YTm3As6, optimized geometry, DFT PBE
data_Nd2YTm3As6
_chemical_formula_sum 'Nd4 Y2 Tm6 As12'
_cell_length_a 18.059
_cell_length_b 4.147
_cell_length_c 8.285
_cell_angle_alpha 90.00
_cell_angle_beta 103.20
_cell_angle_gamma 90.00
_symmetry_space_group_name_H-M 'C 1 2/m 1'
_symmetry_Int_Tables_number 12
_symmetry_space_group_name_Hall '-C 2y'
loop_
_atom_site_label
_atom_site_type_symbol
_atom_site_fract_x
_atom_site_fract_y
_atom_site_fract_z
Nd1 Nd 0.166 0.000 0.332
Y1 Y 0.000 0.500 0.000
Tm1 Tm 0.000 0.500 0.500
Tm2 Tm 0.167 0.000 0.834
As1 As 0.003 0.000 0.749
As2 As 0.164 0.500 0.590
As3 As 0.167 0.500 0.074
# energy of formation: -1506 meV/atom


(3)
# NdY2TmAs4, optimized geometry, DFT PBE
data_NdY2TmAs4
_chemical_formula_sum 'Nd1 Y2 Tm1 As4'
_cell_length_a 7.182
_cell_length_b 4.150
_cell_length_c 7.184
_cell_angle_alpha 90.00
_cell_angle_beta 109.48
_cell_angle_gamma 90.00
_symmetry_space_group_name_H-M 'P 1 2/m 1'
_symmetry_Int_Tables_number 10
_symmetry_space_group_name_Hall '-P 2y'
loop_
_atom_site_label
_atom_site_type_symbol
_atom_site_fract_x
_atom_site_fract_y
_atom_site_fract_z
Nd1 Nd 0.000 0.000 0.000
Y1 Y 0.000 0.500 0.500
Y2 Y 0.500 0.000 0.500
Tm1 Tm 0.500 0.500 0.000
As1 As 0.256 0.000 0.750
As2 As 0.257 0.500 0.254
# energy of formation: -1522 meV/atom


(4)
# NdUAs, optimized geometry, DFT PBE
data_NdUAs
_chemical_formula_sum 'Nd4 U4 As4'
_cell_length_a 3.937
_cell_length_b 20.559
_cell_length_c 3.964
_cell_angle_alpha 90.00
_cell_angle_beta 90.00
_cell_angle_gamma 90.00
_symmetry_space_group_name_H-M 'C m c m'
_symmetry_Int_Tables_number 63
_symmetry_space_group_name_Hall '-C 2c 2'
loop_
_atom_site_label
_atom_site_type_symbol
_atom_site_fract_x
_atom_site_fract_y
_atom_site_fract_z
Nd1 Nd 0.000 0.090 0.250
U1 U 0.000 0.250 0.750
As1 As 0.000 0.361 0.250
# energy of formation: -632 meV/atom


(5)
# Nd5U3As8, optimized geometry, DFT PBE
data_Nd5U3As8
_chemical_formula_sum 'Nd15 U9 As24'
_cell_length_a 8.3592
_cell_length_b 8.3592
_cell_length_c 20.7290
_cell_angle_alpha 90.00
_cell_angle_beta 90.00
_cell_angle_gamma 120.00
_symmetry_space_group_name_H-M 'R -3 m'
_symmetry_Int_Tables_number 166
_symmetry_space_group_name_Hall '-R 3 2"'
loop_
_atom_site_label
_atom_site_type_symbol
_atom_site_fract_x
_atom_site_fract_y
_atom_site_fract_z
Nd1 Nd 0.0000 0.0000 0.0000
Nd2 Nd 0.0000 0.0000 0.5000
Nd3 Nd 0.0000 0.5000 0.0000
U1 U 0.0000 0.5000 0.5000
As1 As 0.0000 0.0000 0.2458
As2 As 0.0074 0.5037 0.7536
# energy of formation: -1214 meV/atom


(6)
# Nd4UAs5, optimized geometry, DFT PBE
data_Nd4UAs5
_chemical_formula_sum 'Nd8 U2 As10'
_cell_length_a 9.452
_cell_length_b 9.452
_cell_length_c 5.983
_cell_angle_alpha 90.00
_cell_angle_beta 90.00
_cell_angle_gamma 90.00
_symmetry_space_group_name_H-M 'I 4/m'
_symmetry_Int_Tables_number 87
_symmetry_space_group_name_Hall '-I 4'
loop_
_atom_site_label
_atom_site_type_symbol
_atom_site_fract_x
_atom_site_fract_y
_atom_site_fract_z
Nd1 Nd 0.097 0.301 0.000
U1 U 0.000 0.000 0.500
As1 As 0.000 0.000 0.000
As2 As 0.096 0.289 0.500
# energy of formation: -1354 meV/atom


(7)
# NdU2As3, optimized geometry, DFT PBE
data_NdU2As3
_chemical_formula_sum 'Nd4 U8 As12'
_cell_length_a 5.871
_cell_length_b 12.464
_cell_length_c 8.258
_cell_angle_alpha 90.00
_cell_angle_beta 90.05
_cell_angle_gamma 90.00
_symmetry_space_group_name_H-M 'P 1 21/c 1'
_symmetry_Int_Tables_number 14
_symmetry_space_group_name_Hall '-P 2ybc'
loop_
_atom_site_label
_atom_site_type_symbol
_atom_site_fract_x
_atom_site_fract_y
_atom_site_fract_z
Nd1 Nd 0.250 0.080 0.125
U1 U 0.250 0.085 0.623
U2 U 0.251 0.747 0.625
As1 As 0.249 0.248 0.874
As2 As 0.250 0.587 0.366
As3 As 0.250 0.587 0.882
# energy of formation: -966 meV/atom


(8)
# NdU4As5, optimized geometry, DFT PBE
data_NdU4As5
_chemical_formula_sum 'Nd2 U8 As10'
_cell_length_a 4.085
_cell_length_b 5.830
_cell_length_c 20.804
_cell_angle_alpha 90.00
_cell_angle_beta 90.00
_cell_angle_gamma 90.00
_symmetry_space_group_name_H-M 'I m m m'
_symmetry_Int_Tables_number 71
_symmetry_space_group_name_Hall '-I 2 2'
loop_
_atom_site_label
_atom_site_type_symbol
_atom_site_fract_x
_atom_site_fract_y
_atom_site_fract_z
Nd1 Nd 0.000 0.000 0.000
U1 U 0.000 0.000 0.202
U2 U 0.000 0.000 0.400
As1 As 0.000 0.500 0.000
As2 As 0.000 0.500 0.199
As3 As 0.000 0.500 0.395
# energy of formation: -865 meV/atom


(9)
# NdUAs2, optimized geometry, DFT PBE
data_NdUAs2
_chemical_formula_sum 'Nd3 U3 As6'
_cell_length_a 4.1375
_cell_length_b 4.1375
_cell_length_c 20.8302
_cell_angle_alpha 90.00
_cell_angle_beta 90.00
_cell_angle_gamma 120.00
_symmetry_space_group_name_H-M 'R -3 m'
_symmetry_Int_Tables_number 166
_symmetry_space_group_name_Hall '-R 3 2"'
loop_
_atom_site_label
_atom_site_type_symbol
_atom_site_fract_x
_atom_site_fract_y
_atom_site_fract_z
Nd1 Nd 0.0000 0.0000 0.0000
U1 U 0.0000 0.0000 0.5000
As1 As 0.0000 0.0000 0.2457
# energy of formation: -1123 meV/atom
# excess energy over the best structure of this formula in the dataset: 0.000 eV per atom


(10)
# NdUAs2, optimized geometry, DFT PBE
data_NdUAs2
_chemical_formula_sum 'Nd3 U3 As6'
_cell_length_a 4.0918
_cell_length_b 4.0918
_cell_length_c 21.7002
_cell_angle_alpha 90.00
_cell_angle_beta 90.00
_cell_angle_gamma 120.00
_symmetry_space_group_name_H-M 'R 3 m'
_symmetry_Int_Tables_number 160
_symmetry_space_group_name_Hall 'R 3 -2"'
loop_
_atom_site_label
_atom_site_type_symbol
_atom_site_fract_x
_atom_site_fract_y
_atom_site_fract_z
Nd1 Nd 0.0000 0.0000 0.0000
U1 U 0.0000 0.0000 0.8275
As1 As 0.0000 0.0000 0.2412
As2 As 0.0000 0.0000 0.4182
# energy of formation: -975 meV/atom
# excess energy over the best structure of this formula in the dataset: 0.148 eV per atom


(11)
# NdU5As6, optimized geometry, DFT PBE
data_NdU5As6
_chemical_formula_sum 'Nd2 U10 As12'
_cell_length_a 7.140
_cell_length_b 12.387
_cell_length_c 7.114
_cell_angle_alpha 90.00
_cell_angle_beta 109.62
_cell_angle_gamma 90.00
_symmetry_space_group_name_H-M 'C 1 2/m 1'
_symmetry_Int_Tables_number 12
_symmetry_space_group_name_Hall '-C 2y'
loop_
_atom_site_label
_atom_site_type_symbol
_atom_site_fract_x
_atom_site_fract_y
_atom_site_fract_z
Nd1 Nd 0.000 0.000 0.000
U1 U 0.000 0.165 0.500
U2 U 0.000 0.333 0.000
U3 U 0.000 0.500 0.500
As1 As 0.245 0.330 0.746
As2 As 0.245 0.500 0.253
# energy of formation: -843 meV/atom


(12)
# Nd3UAs4, optimized geometry, DFT PBE
data_Nd3UAs4
_chemical_formula_sum 'Nd6 U2 As8'
_cell_length_a 8.482
_cell_length_b 11.919
_cell_length_c 4.206
_cell_angle_alpha 90.00
_cell_angle_beta 90.00
_cell_angle_gamma 90.00
_symmetry_space_group_name_H-M 'C m m m'
_symmetry_Int_Tables_number 65
_symmetry_space_group_name_Hall '-C 2 2'
loop_
_atom_site_label
_atom_site_type_symbol
_atom_site_fract_x
_atom_site_fract_y
_atom_site_fract_z
Nd1 Nd 0.000 0.000 0.000
Nd2 Nd 0.250 0.250 0.500
U1 U 0.000 0.500 0.000
As1 As 0.000 0.257 0.000
As2 As 0.240 0.500 0.500
# energy of formation: -1310 meV/atom